Record 1
Compound: Y5HoAu6
Source: Alexandria via LeMat-Bulk
Functional: PBE-GGA
Structure: relaxed

Cell: 8.858 8.858 5.117 Å, 106.71 106.71 47.50°
Fractional coordinates of all 12 atoms:
Y  0.000  0.000  0.000
Y  0.166  0.166  0.666
Y  0.333  0.333  0.333
Y  0.667  0.667  0.667
Y  0.834  0.834  0.334
Ho  0.500  0.500  0.000
Au  0.086  0.583  0.834
Au  0.254  0.746  0.500
Au  0.417  0.914  0.166
Au  0.583  0.086  0.834
Au  0.746  0.254  0.500
Au  0.914  0.417  0.166

Summary:
ΔE_f: -862 meV/atom
volume: 281.04 Å³/f.u.
space-group type: No. 12

***

Record 2
Compound: ZrSc3Co
Source: Alexandria via LeMat-Bulk
Functional: PBE-GGA
Structure: relaxed

Cell: 6.586 6.586 7.340 Å, 123.85 123.85 73.49°
Fractional coordinates of all 10 atoms:
Zr  0.055  0.055  0.265
Zr  0.945  0.945  0.735
Sc  0.045  0.442  0.784
Sc  0.442  0.045  0.784
Sc  0.452  0.452  0.666
Sc  0.548  0.548  0.334
Sc  0.558  0.955  0.216
Sc  0.955  0.558  0.216
Co  0.246  0.246  0.132
Co  0.754  0.754  0.868

Summary:
ΔE_f: -104 meV/atom
ΔE to the lowest computed polymorph: 0.12 eV per formula unit
volume: 109.70 Å³/f.u.
space-group type: No. 12

***

Record 3
Compound: USiHgO6
Source: Alexandria via LeMat-Bulk
Functional: PBE-GGA
Structure: relaxed

Cell: 5.278 5.278 9.761 Å, 90.00 90.00 120.00°
Fractional coordinates of all 18 atoms:
U  0.333  0.667  0.250
U  0.667  0.333  0.750
Si  0.333  0.667  0.750
Si  0.667  0.333  0.250
Hg  0.000  0.000  0.000
Hg  0.000  0.000  0.500
O  0.040  0.391  0.646
O  0.040  0.650  0.854
O  0.350  0.391  0.854
O  0.350  0.960  0.646
O  0.391  0.040  0.146
O  0.391  0.350  0.354
O  0.609  0.650  0.646
O  0.609  0.960  0.854
O  0.650  0.040  0.354
O  0.650  0.609  0.146
O  0.960  0.350  0.146
O  0.960  0.609  0.354

Summary:
formation energy (no corrections): -2.163 eV per atom
volume: 117.75 Å³/f.u.
space-group type: No. 163

***

Record 4
Compound: Sc2MoIr
Source: Alexandria via LeMat-Bulk
Functional: PBE-GGA
Structure: relaxed

Cell: 3.232 4.357 4.941 Å, 90.00 90.00 90.00°
Fractional coordinates of all 4 atoms:
Sc  0.000  0.000  0.000
Sc  0.500  0.000  0.500
Mo  0.000  0.500  0.500
Ir  0.500  0.500  0.000

Summary:
ΔE_f: -208 meV/atom
volume: 69.58 Å³/f.u.
space-group type: No. 47

***

Record 5
Compound: Ac3Sb
Source: Alexandria via LeMat-Bulk
Functional: PBE-GGA
Structure: relaxed

Cell: 8.482 8.482 8.482 Å, 90.00 90.00 90.00°
Fractional coordinates of all 16 atoms:
Ac  0.000  0.000  0.000
Ac  0.000  0.500  0.500
Ac  0.250  0.250  0.250
Ac  0.250  0.250  0.750
Ac  0.250  0.750  0.250
Ac  0.250  0.750  0.750
Ac  0.500  0.000  0.500
Ac  0.500  0.500  0.000
Ac  0.750  0.250  0.250
Ac  0.750  0.250  0.750
Ac  0.750  0.750  0.250
Ac  0.750  0.750  0.750
Sb  0.000  0.000  0.500
Sb  0.000  0.500  0.000
Sb  0.500  0.000  0.000
Sb  0.500  0.500  0.500

Summary:
formation energy (no corrections): -0.201 eV per atom
ΔE to the lowest computed polymorph: 1.00 eV per formula unit
volume: 152.58 Å³/f.u.
space-group type: No. 225

***

Record 6
Compound: TaHgSe
Source: Alexandria via LeMat-Bulk
Functional: PBE-GGA
Structure: relaxed

Cell: 6.393 6.393 6.393 Å, 90.00 90.00 90.00°
Fractional coordinates of all 12 atoms:
Ta  0.000  0.000  0.000
Ta  0.000  0.500  0.500
Ta  0.500  0.000  0.500
Ta  0.500  0.500  0.000
Hg  0.000  0.000  0.500
Hg  0.000  0.500  0.000
Hg  0.500  0.000  0.000
Hg  0.500  0.500  0.500
Se  0.250  0.250  0.750
Se  0.250  0.750  0.250
Se  0.750  0.250  0.250
Se  0.750  0.750  0.750

Summary:
formation energy (no corrections): 0.723 eV per atom
ΔE to the lowest computed polymorph: 2.57 eV per formula unit
volume: 65.31 Å³/f.u.
space-group type: No. 216